PBE AcTiCo, optimized geometry; formation energy = 271 meV/atom; electronic total energy = -36.6 eV for the cell shown; space group = Amm2; crystal system = orthorhombic; total magnetization = 0.7 μB/cell
1.0
11.5699 0.0000 0.0000
0.0000 2.2976 2.5464
0.0000 -2.2976 2.5464
Ac Ti Co
2 2 2
direct
0.1624 0.0000 0.0000
0.8376 0.0000 0.0000
0.3966 0.4962 0.4962
0.6034 0.4962 0.4962
0.0000 0.5098 0.5098
0.5000 0.9023 0.9023

***

PBE Na2Zn2Tc, optimized geometry; formation energy = 692 meV/atom; energy relative to the lowest polymorph listed for this composition = 0 kJ/mol of formula units; electronic total energy = -24.2 eV for the cell shown; space group = P4/mbm; crystal system = tetragonal; total magnetization = 1.1 μB/cell
1.0
8.3315 0.0000 0.0000
0.0000 8.3315 0.0000
0.0000 0.0000 2.5849
Na Zn Tc
4 4 2
direct
0.1270 0.3730 0.0000
0.3730 0.8730 0.0000
0.6270 0.1270 0.0000
0.8730 0.6270 0.0000
0.1746 0.6746 0.5000
0.3254 0.1746 0.5000
0.6746 0.8254 0.5000
0.8254 0.3254 0.5000
0.0000 0.0000 0.0000
0.5000 0.5000 0.0000

***

PBE ThNp2FeN4, optimized geometry; electronic total energy = -167.6 eV for the cell shown; formation energy (no corrections) = -1.095 eV per atom; space group = Cmcm; crystal system = orthorhombic; total magnetization = 8.0 μB/cell
1.0
1.7074 -5.7005 0.0000
1.7074 5.7005 0.0000
0.0000 0.0000 11.3724
Th Np Fe N
2 4 2 8
direct
0.1066 0.8934 0.7500
0.8934 0.1066 0.2500
0.3690 0.6310 0.5569
0.3690 0.6310 0.9431
0.6310 0.3690 0.0569
0.6310 0.3690 0.4431
0.1565 0.8435 0.2500
0.8435 0.1565 0.7500
0.0000 0.0000 0.0000
0.0000 0.0000 0.5000
0.2711 0.7289 0.1185
0.2711 0.7289 0.3815
0.4508 0.5492 0.7500
0.5492 0.4508 0.2500
0.7289 0.2711 0.6185
0.7289 0.2711 0.8815